(1)
{"formula": "EuGaBi2", "functional": "GGA-PBE", "state": "optimized geometry", "lattice_angstrom": [[4.865, 0.000, 0.000], [0.000, 4.865, 0.000], [0.000, 0.000, 4.858]], "species": ["Eu", "Ga", "Bi", "Bi"], "frac_coords": [[0.000, 0.000, 0.000], [0.500, 0.500, 0.000], [0.000, 0.500, 0.500], [0.500, 0.000, 0.500]], "spacegroup": "No. 123", "polymorph_energy_mev_per_atom": 0}

(2)
{"formula": "EuGa2Bi", "functional": "GGA-PBE", "state": "optimized geometry", "lattice_angstrom": [[4.672, 0.000, 0.000], [0.000, 4.672, 0.000], [0.000, 0.000, 4.608]], "species": ["Eu", "Ga", "Ga", "Bi"], "frac_coords": [[0.000, 0.000, 0.000], [0.000, 0.500, 0.500], [0.500, 0.000, 0.500], [0.500, 0.500, 0.000]], "spacegroup": "No. 123"}

(3)
{"formula": "EuInGaBi", "functional": "GGA-PBE", "state": "optimized geometry", "lattice_angstrom": [[0.000, 3.852, 3.852], [3.852, 0.000, 3.852], [3.852, 3.852, 0.000]], "species": ["Eu", "In", "Ga", "Bi"], "frac_coords": [[0.000, 0.000, 0.000], [0.500, 0.500, 0.500], [0.250, 0.250, 0.250], [0.750, 0.750, 0.750]], "spacegroup": "No. 216"}

(4)
{"formula": "LiEuGaBi", "functional": "GGA-PBE", "state": "optimized geometry", "lattice_angstrom": [[0.000, 3.734, 3.734], [3.734, 0.000, 3.734], [3.734, 3.734, 0.000]], "species": ["Li", "Eu", "Ga", "Bi"], "frac_coords": [[0.000, 0.000, 0.000], [0.500, 0.500, 0.500], [0.750, 0.750, 0.750], [0.250, 0.250, 0.250]], "spacegroup": "No. 216"}

(5)
{"formula": "EuMgGaBi", "functional": "GGA-PBE", "state": "optimized geometry", "lattice_angstrom": [[0.000, 3.779, 3.779], [3.779, 0.000, 3.779], [3.779, 3.779, 0.000]], "species": ["Eu", "Mg", "Ga", "Bi"], "frac_coords": [[0.000, 0.000, 0.000], [0.500, 0.500, 0.500], [0.250, 0.250, 0.250], [0.750, 0.750, 0.750]], "spacegroup": "No. 216"}

(6)
{"formula": "NaEuGaBi", "functional": "GGA-PBE", "state": "optimized geometry", "lattice_angstrom": [[0.000, 3.856, 3.856], [3.856, 0.000, 3.856], [3.856, 3.856, 0.000]], "species": ["Na", "Eu", "Ga", "Bi"], "frac_coords": [[0.000, 0.000, 0.000], [0.500, 0.500, 0.500], [0.750, 0.750, 0.750], [0.250, 0.250, 0.250]], "spacegroup": "No. 216"}

(7)
{"formula": "PmEuGaBi", "functional": "GGA-PBE", "state": "optimized geometry", "lattice_angstrom": [[0.000, 3.869, 3.869], [3.869, 0.000, 3.869], [3.869, 3.869, 0.000]], "species": ["Pm", "Eu", "Ga", "Bi"], "frac_coords": [[0.000, 0.000, 0.000], [0.500, 0.500, 0.500], [0.250, 0.250, 0.250], [0.750, 0.750, 0.750]], "spacegroup": "No. 216"}

(8)
{"formula": "EuGaSnBi", "functional": "GGA-PBE", "state": "optimized geometry", "lattice_angstrom": [[0.000, 3.864, 3.864], [3.864, 0.000, 3.864], [3.864, 3.864, 0.000]], "species": ["Eu", "Ga", "Sn", "Bi"], "frac_coords": [[0.000, 0.000, 0.000], [0.750, 0.750, 0.750], [0.500, 0.500, 0.500], [0.250, 0.250, 0.250]], "spacegroup": "No. 216"}

Number 1: total DFT energy (no corrections) -22.866 eV for the cell shown, formation energy -451 meV/atom. Number 2: total DFT energy (no corrections) -21.807 eV for the cell shown, formation energy -399 meV/atom. Number 3: total DFT energy (no corrections) -20.919 eV for the cell shown, formation energy -250 meV/atom. Number 4: total DFT energy (no corrections) -20.776 eV for the cell shown, formation energy -420 meV/atom. Number 5: total DFT energy (no corrections) -20.124 eV for the cell shown, formation energy -337 meV/atom. Number 6: total DFT energy (no corrections) -20.006 eV for the cell shown, formation energy -376 meV/atom. Number 7: total DFT energy (no corrections) -24.013 eV for the cell shown, formation energy -520 meV/atom. Number 8: total DFT energy (no corrections) -22.132 eV for the cell shown, formation energy -237 meV/atom.